La2YSiO after structural relaxation. Source: the Alexandria database, functional PBE.

Cell: 4.9966 4.9966 4.6576 Å, 90.00 90.00 90.00°
With the nearest neighbours (Å) after each atom.
Element x y z (fractional)
La  0.0000  0.5000  0.0000  2 O 2.50
La  0.5000  0.0000  0.0000  2 O 2.50
Y  0.0000  0.0000  0.5000  2 O 2.33
Si  0.5000  0.5000  0.5000  8 La 3.42, 4 Y 3.53
O  0.0000  0.0000  0.0000  2 Y 2.33, 4 La 2.50

Results
Symmetry: No. 123
ΔE_f (raw), meV per atom: -1347

LaSm2O4 after structural relaxation. Source: the Alexandria database, functional PBE.

Cell: 7.0803 7.0803 7.0803 Å, 119.96 119.96 90.07°
With the nearest neighbours (Å) after each atom.
Element x y z (fractional)
La  0.3750  0.6250  0.7500  4 O 2.36
La  0.6250  0.3750  0.2500  4 O 2.36
Sm  0.0000  0.0000  0.0000  6 O 2.40
Sm  0.0000  0.0000  0.5000  6 O 2.40
Sm  0.0000  0.5000  0.0000  6 O 2.40
Sm  0.5000  0.0000  0.5000  6 O 2.40
O  0.2161  0.2388  0.9772  1 La 2.36, 3 Sm 2.40
O  0.2384  0.7612  0.4772  1 La 2.36, 3 Sm 2.40
O  0.2388  0.2161  0.4772  1 La 2.36, 3 Sm 2.40
O  0.2388  0.7616  0.0228  1 La 2.36, 3 Sm 2.40
O  0.7612  0.2384  0.9772  1 La 2.36, 3 Sm 2.40
O  0.7612  0.7839  0.5228  1 La 2.36, 3 Sm 2.40
O  0.7616  0.2388  0.5228  1 La 2.36, 3 Sm 2.40
O  0.7839  0.7612  0.0228  1 La 2.36, 3 Sm 2.40

Results
Symmetry: No. 141
ΔE_f (raw), meV per atom: -3176

| no. | magnetization (μB per formula unit) |
| --- | --- |
| 1 | 0.0 |
| 2 | 0.0 |